# RbNa3Cd8, relaxed, DFT PBE-GGA
# Calculated formation energy (eV per atom): -0.096
# Total magnetization (Bohr magnetons per cell): 0.00
# Energy (eV/atom): -1.116
data_RbNa3Cd8
_chemical_formula_sum 'Rb1 Na3 Cd8'
_symmetry_space_group_name_H-M 'P 3 m 1'
_symmetry_Int_Tables_number 156
_symmetry_space_group_name_Hall 'P 3 -2"'
_cell_length_a 6.1335
_cell_length_b 6.1335
_cell_length_c 9.9967
_cell_angle_alpha 90.00
_cell_angle_beta 90.00
_cell_angle_gamma 120.00
loop_
_atom_site_label
_atom_site_fract_x
_atom_site_fract_y
_atom_site_fract_z
Rb1 0.0000 0.0000 0.0000
Na1 0.0000 0.0000 0.3825
Na2 0.6667 0.3333 0.5021
Na3 0.6667 0.3333 0.8662
Cd1 0.1639 0.3278 0.6808
Cd2 0.3333 0.6667 0.4372
Cd3 0.3333 0.6667 0.9370
Cd4 0.5043 0.0086 0.1983

# FeW2Br, relaxed, DFT PBE-GGA
# Total magnetization (Bohr magnetons per cell): 1.67
# Polymorph energy (0 for the lowest one) (eV/f.u.): 1.47
# Energy (eV/atom): -8.080
# ΔE_f (raw) (kJ/mol of atoms): 89.8
data_FeW2Br
_chemical_formula_sum 'Fe2 W4 Br2'
_symmetry_space_group_name_H-M 'C 1 m 1'
_symmetry_Int_Tables_number 8
_symmetry_space_group_name_Hall 'C -2y'
_cell_length_a 9.281
_cell_length_b 2.927
_cell_length_c 4.717
_cell_angle_alpha 90.00
_cell_angle_beta 108.07
_cell_angle_gamma 90.00
loop_
_atom_site_label
_atom_site_fract_x
_atom_site_fract_y
_atom_site_fract_z
Fe1 0.000 0.000 0.000
W1 0.273 0.000 0.879
W2 0.496 0.000 0.536
Br1 0.234 0.500 0.311

# Al3TeP, relaxed, DFT PBE-GGA
# Total magnetization (Bohr magnetons per cell): 0.00
# Polymorph energy (0 for the lowest one) (eV/f.u.): 0.00
# Energy (eV/atom): -3.718
# ΔE_f (raw) (kJ/mol of atoms): 23.0
data_Al3TeP
_chemical_formula_sum 'Al3 Te1 P1'
_symmetry_space_group_name_H-M 'P m -3 m'
_symmetry_Int_Tables_number 221
_symmetry_space_group_name_Hall '-P 4 2 3'
_cell_length_a 4.840
_cell_length_b 4.840
_cell_length_c 4.840
_cell_angle_alpha 90.00
_cell_angle_beta 90.00
_cell_angle_gamma 90.00
loop_
_atom_site_label
_atom_site_fract_x
_atom_site_fract_y
_atom_site_fract_z
Al1 0.000 0.000 0.500
Te1 0.500 0.500 0.500
P1 0.000 0.000 0.000

# HfAl3Fe, relaxed, DFT PBE-GGA
# Calculated formation energy (eV per atom): -0.320
# Total magnetization (Bohr magnetons per cell): 0.00
# Polymorph energy (0 for the lowest one) (eV/f.u.): 0.02
# Energy (eV/atom): -6.249
data_HfAl3Fe
_chemical_formula_sum 'Hf2 Al6 Fe2'
_symmetry_space_group_name_H-M 'A m m 2'
_symmetry_Int_Tables_number 38
_symmetry_space_group_name_Hall 'A 2 -2'
_cell_length_a 4.198
_cell_length_b 4.170
_cell_length_c 9.541
_cell_angle_alpha 90.00
_cell_angle_beta 90.00
_cell_angle_gamma 90.00
loop_
_atom_site_label
_atom_site_fract_x
_atom_site_fract_y
_atom_site_fract_z
Hf1 0.000 0.000 0.000
Al1 0.000 0.000 0.295
Al2 0.500 0.000 0.518
Al3 0.500 0.000 0.794
Fe1 0.000 0.000 0.664